BaLi2Al: PBEsol geometry, meta-GGA SCAN.

Structure (POSCAR):
```
BaLi2Al
1.0
3.550 0.000 0.000
0.000 4.822 0.000
-1.767 0.000 6.471
Ba Li Al
1 2 1
Direct
0.000 0.000 0.000
0.270 0.000 0.529
0.697 0.500 0.392
0.361 0.500 0.722
```

Properties
Energy ... -51.909 eV for the cell shown
SG ... No. 6
Calculated formation energy ... 0.2 eV/f.u.
Calculated volume ... 27.7 Å³/atom
Fermi-level density of states ... 2.67 states/eV/cell